DFT (GGA-PBE) results for an optimized crystal structure of PuHfRhAu.

```
4
Lattice="4.865 0.000 0.000 2.433 4.214 0.000 2.433 1.405 3.973" Properties=species:S:1:pos:R:3 pbc="T T T"
Pu 7.298 4.214 2.979
Hf 2.433 1.405 0.993
Au 0.000 0.000 0.000
Rh 4.865 2.809 1.986
```

Output
Total energy: -9.11 eV per atom
E_form: -0.38 eV per atom